# Ag2Pd5Pt2

Ag2Pd5Pt2 after structural relaxation (PBE, Alexandria).

Properties
As for the energy above the lowest structure with this stoichiometry: 260 meV/atom. The formation energy from the elements is 254 meV/atom. Its space-group type is No. 64.

Geometry as POSCAR:
```
Ag2Pd5Pt2
1.0
-0.958 -4.419 -4.995
-1.483 -4.770 4.505
-5.999 4.192 -2.559
Ag Pd Pt
4 10 4
Direct
0.000 0.207 0.414
0.500 0.707 0.414
0.000 0.793 0.586
0.500 0.293 0.586
0.000 0.000 0.000
0.500 0.500 0.000
0.839 0.793 0.264
0.161 0.471 0.264
0.339 0.971 0.264
0.661 0.293 0.264
0.161 0.207 0.736
0.839 0.529 0.736
0.661 0.029 0.736
0.339 0.707 0.736
0.636 0.865 0.000
0.364 0.135 0.000
0.136 0.635 0.000
0.864 0.365 0.000
```

# BaIn2TeRh

BaIn2TeRh after structural relaxation (PBE, Alexandria).

Properties
Its formation energy from raw total energies is -0.579 eV per atom. Its space-group type is No. 123.

Geometry as POSCAR:
```
BaIn2TeRh
1.0
-1.035 3.659 3.497
-4.957 -1.454 0.054
1.199 -3.918 4.456
Te Rh Ba In
1 1 1 2
Direct
0.500 0.500 0.500
0.000 0.000 0.000
0.000 0.000 0.500
0.000 0.500 0.000
0.500 0.000 0.000
```

# LaSmCdTc

LaSmCdTc after structural relaxation (PBE, Alexandria).

Properties
The formation energy from the elements is 7 meV/atom. Its space-group type is No. 216.

Geometry as POSCAR:
```
LaSmCdTc
1.0
-1.554 4.859 -1.079
-3.086 2.552 3.339
1.885 4.010 2.747
Cd Tc Sm La
1 1 1 1
Direct
0.250 0.250 0.250
0.750 0.750 0.750
0.500 0.500 0.500
0.000 0.000 0.000
```

# Sm2DyCl8

Sm2DyCl8 after structural relaxation (PBE, Alexandria).

Properties
Its formation energy from raw total energies is -2.076 eV per atom. Its space-group type is No. 12.

Geometry as POSCAR:
```
Sm2DyCl8
1.0
-4.918 -4.374 -0.066
4.199 -2.044 6.080
-1.072 3.876 6.527
Sm Dy Cl
2 1 8
Direct
0.499 0.263 0.263
0.501 0.737 0.737
0.000 0.000 0.000
0.753 0.114 0.640
0.247 0.360 0.886
0.753 0.124 0.124
0.247 0.876 0.876
0.753 0.640 0.114
0.247 0.886 0.360
0.246 0.376 0.376
0.754 0.624 0.624
```

# Sr2Li3IrO6

Sr2Li3IrO6 after structural relaxation (PBE, Alexandria).

Properties
Its formation energy from raw total energies is -1.843 eV per atom. Its space-group type is No. 12.

Geometry as POSCAR:
```
Sr2Li3IrO6
1.0
6.129 -0.244 0.076
-3.274 5.187 0.076
-0.887 -1.537 4.964
Sr Li Ir O
2 3 1 6
Direct
0.330 0.670 0.000
0.670 0.330 0.000
0.107 0.893 0.500
0.893 0.107 0.500
0.500 0.500 0.500
0.000 0.000 0.000
0.931 0.669 0.756
0.770 0.770 0.232
0.069 0.331 0.244
0.669 0.931 0.756
0.230 0.230 0.768
0.331 0.069 0.244
```

# TeBrCl

TeBrCl after structural relaxation (PBE, Alexandria).

Properties
As for the energy above the lowest structure with this stoichiometry: 104 meV/atom. Its formation energy from raw total energies is -0.265 eV per atom. Its space-group type is No. 1.

Geometry as POSCAR:
```
TeBrCl
1.0
8.196 -3.866 -0.314
-8.018 12.249 -1.514
0.477 -1.138 3.929
Te Br Cl
2 2 2
Direct
0.281 0.135 0.748
0.865 0.074 0.939
0.251 0.354 0.719
0.496 0.804 0.183
0.664 0.226 0.659
0.938 0.824 0.615
```

# Tb2Pm3Pr5

Tb2Pm3Pr5 after structural relaxation (PBE, Alexandria).

Properties
As for the energy above the lowest structure with this stoichiometry: 0 meV/atom. The formation energy from the elements is 168 meV/atom. Its space-group type is No. 15.

Geometry as POSCAR:
```
Tb2Pm3Pr5
1.0
-2.802 -9.121 3.618
7.156 -7.254 -0.541
0.297 10.121 5.253
Tb Pm Pr
4 6 10
Direct
0.781 0.030 0.753
0.219 0.970 0.247
0.472 0.723 0.753
0.528 0.277 0.247
0.230 0.980 0.960
0.770 0.020 0.040
0.722 0.471 0.250
0.278 0.529 0.750
0.028 0.779 0.250
0.972 0.221 0.750
0.272 0.522 0.043
0.728 0.478 0.957
0.022 0.772 0.544
0.520 0.270 0.539
0.978 0.228 0.456
0.480 0.730 0.461
0.875 0.628 0.753
0.125 0.372 0.247
0.378 0.125 0.753
0.622 0.875 0.247
```

# TaBeAg

TaBeAg after structural relaxation (PBE, Alexandria).

Properties
As for the energy above the lowest structure with this stoichiometry: 162 meV/atom. The formation energy from the elements is 166 meV/atom. Its space-group type is No. 36.

Geometry as POSCAR:
```
TaBeAg
1.0
4.517 -0.008 0.000
-2.244 6.815 0.000
0.000 0.000 2.906
Be Ag Ta
2 2 2
Direct
0.831 0.698 0.357
0.711 0.457 0.857
0.986 0.009 0.860
0.556 0.147 0.360
0.354 0.745 0.858
0.188 0.411 0.358
```

no.,electronic total energy (eV/cell),calculated volume (A^3/atom)
1,-82.92,17.6
2,-20.79,32.3
3,-20.90,25.1
4,-51.65,29.9
5,-69.83,12.9
6,-14.91,43.4
7,-91.46,35.3
8,-35.87,14.9